First-principles (PBE) data for a relaxed ZrGa2Hg crystal, as listed in OQMD.

## Properties
SG: F-43m, No. 216
total moment: 0.21 μB per formula unit
energy: -3.6494 eV/atom

The structure in POSCAR format:
```
ZrGa2Hg
1.0
0.0000 3.4360 3.4360
3.4360 0.0000 3.4360
3.4360 3.4360 0.0000
Zr Ga Hg
1 2 1
direct
0.0000 0.0000 0.0000 Zr
0.2500 0.2500 0.2500 Ga
0.5000 0.5000 0.5000 Ga
0.7500 0.7500 0.7500 Hg
```



First-principles (PBE) data for a relaxed CsNdLuS3 crystal, as listed in OQMD.

## Properties
SG: Cmcm, No. 63
total moment: 0.01 μB per formula unit
energy: -5.4443 eV/atom

The structure in POSCAR format:
```
CsNdLuS3
1.0
2.2149 -7.9067 0.0000
2.2149 7.9067 0.0000
0.0000 0.0000 11.1645
Cs Nd Lu S
2 2 2 6
direct
0.2369 0.7631 0.7500 Cs
0.7631 0.2369 0.2500 Cs
0.5000 0.5000 0.0000 Nd
0.5000 0.5000 0.5000 Nd
0.0310 0.9690 0.2500 Lu
0.9690 0.0310 0.7500 Lu
0.1148 0.8852 0.0586 S
0.1148 0.8852 0.4414 S
0.4490 0.5510 0.2500 S
0.5510 0.4490 0.7500 S
0.8852 0.1148 0.5586 S
0.8852 0.1148 0.9414 S
```



First-principles (PBE) data for a relaxed CsRbZnSn crystal, as listed in OQMD.

## Properties
SG: Ama2, No. 40
energy: -1.9439 eV/atom

The structure in POSCAR format:
```
CsRbZnSn
1.0
6.9961 0.0000 0.0000
0.0000 4.1590 5.8992
0.0000 -4.1590 5.8992
Cs Rb Zn Sn
2 2 2 2
direct
0.2500 0.1604 0.8396 Cs
0.7500 0.8396 0.1604 Cs
0.2500 0.4933 0.1727 Rb
0.7500 0.1727 0.4933 Rb
0.0000 0.6697 0.6697 Zn
0.5000 0.6697 0.6697 Zn
0.2500 0.8975 0.4266 Sn
0.7500 0.4266 0.8975 Sn
```



First-principles (PBE) data for a relaxed Dy4ErTm2Te2Pd2 crystal, as listed in OQMD.

## Properties
SG: Imm2, No. 44
total moment: 0.00 μB per formula unit
energy: -5.2644 eV/atom

The structure in POSCAR format:
```
Dy4ErTm2Te2Pd2
1.0
-1.9604 7.8438 4.7997
1.9604 -7.8438 4.7997
1.9604 7.8438 -4.7997
Dy Er Tm Te Pd
4 1 2 2 2
direct
0.1289 0.0000 0.1289 Dy
0.5075 0.1511 0.3564 Dy
0.7948 0.1511 0.6436 Dy
0.8711 0.0000 0.8711 Dy
0.4163 0.4163 0.0000 Er
0.1098 0.7922 0.3176 Tm
0.4746 0.7922 0.6824 Tm
0.1540 0.6540 0.5000 Te
0.7529 0.7529 0.0000 Te
0.2491 0.4857 0.7634 Pd
0.7223 0.4857 0.2366 Pd
```



First-principles (PBE) data for a relaxed SrCd4Si3 crystal, as listed in OQMD.

## Properties
SG: P4/mmm, No. 123
energy: -2.7502 eV/atom

The structure in POSCAR format:
```
SrCd4Si3
1.0
4.5803 0.0000 0.0000
0.0000 4.5803 0.0000
0.0000 0.0000 8.5412
Sr Cd Si
1 4 3
direct
0.0000 0.0000 0.0000 Sr
0.0000 0.5000 0.3143 Cd
0.0000 0.5000 0.6857 Cd
0.5000 0.0000 0.3143 Cd
0.5000 0.0000 0.6857 Cd
0.0000 0.0000 0.5000 Si
0.5000 0.5000 0.1378 Si
0.5000 0.5000 0.8622 Si
```



First-principles (PBE) data for a relaxed LiBiPd2 crystal, as listed in OQMD.

## Properties
SG: P6_3/mmc, No. 194
energy: -4.5258 eV/atom

The structure in POSCAR format:
```
LiBiPd2
1.0
4.4237 0.0000 0.0000
-2.2119 3.8311 0.0000
0.0000 0.0000 8.5959
Li Bi Pd
2 2 4
direct
0.0000 0.0000 0.0000 Li
0.0000 0.0000 0.5000 Li
0.3333 0.6667 0.2500 Bi
0.6667 0.3333 0.7500 Bi
0.3333 0.6667 0.5856 Pd
0.3333 0.6667 0.9144 Pd
0.6667 0.3333 0.0856 Pd
0.6667 0.3333 0.4144 Pd
```



First-principles (PBE) data for a relaxed KHoSeO crystal, as listed in OQMD.

## Properties
SG: R3m, No. 160
total moment: 0.00 μB per formula unit
energy: -5.6484 eV/atom

The structure in POSCAR format:
```
KHoSeO
1.0
1.8791 1.0849 7.0951
-1.8791 1.0849 7.0951
0.0000 -2.1698 7.0951
K Ho Se O
1 1 1 1
direct
0.0000 0.0000 0.0000 K
0.4782 0.4782 0.4782 Ho
0.2286 0.2286 0.2286 Se
0.7671 0.7671 0.7671 O
```



First-principles (PBE) data for a relaxed DyY2Fe6Co2Ni crystal, as listed in OQMD.

## Properties
SG: R-3m, No. 166
total moment: 15.63 μB per formula unit
energy of formation: -126 kJ/mol of formula units

The structure in POSCAR format:
```
DyY2Fe6Co2Ni
1.0
2.5174 1.4534 8.1771
-2.5174 1.4534 8.1771
0.0000 -2.9068 8.1771
Dy Y Fe Co Ni
1 2 6 2 1
direct
0.0000 0.0000 0.0000 Dy
0.1419 0.1419 0.1419 Y
0.8581 0.8581 0.8581 Y
0.0799 0.5815 0.5815 Fe
0.4185 0.4185 0.9201 Fe
0.4185 0.9201 0.4185 Fe
0.5815 0.0799 0.5815 Fe
0.5815 0.5815 0.0799 Fe
0.9201 0.4185 0.4185 Fe
0.3326 0.3326 0.3326 Co
0.6674 0.6674 0.6674 Co
0.5000 0.5000 0.5000 Ni
```



First-principles (PBE) data for a relaxed GaRe crystal, as listed in OQMD.

## Properties
SG: P6_3/mmc, No. 194
total moment: 0.94 μB per formula unit
energy: -6.8072 eV/atom

The structure in POSCAR format:
```
GaRe
1.0
3.9330 0.0000 0.0000
-1.9665 3.4060 0.0000
0.0000 0.0000 4.8992
Ga Re
2 2
direct
0.0000 0.0000 0.0000 Ga
0.0000 0.0000 0.5000 Ga
0.3333 0.6667 0.2500 Re
0.6667 0.3333 0.7500 Re
```



First-principles (PBE) data for a relaxed Gd2HoZn3Ir2Pt crystal, as listed in OQMD.

## Properties
SG: Amm2, No. 38
total moment: 0.00 μB per formula unit
energy of formation: -680 kJ/mol of formula units

The structure in POSCAR format:
```
Gd2HoZn3Ir2Pt
1.0
3.9016 0.0000 0.0000
0.0000 6.2315 3.6100
0.0000 -6.2315 3.6100
Gd Ho Zn Ir Pt
2 1 3 2 1
direct
0.0000 0.2044 0.7956 Gd
0.0000 0.7956 0.2044 Gd
0.0000 0.3896 0.3896 Ho
0.5000 0.0487 0.0487 Zn
0.5000 0.5423 0.7950 Zn
0.5000 0.7950 0.5423 Zn
0.5000 0.1320 0.4608 Ir
0.5000 0.4608 0.1320 Ir
0.0000 0.7929 0.7929 Pt
```



First-principles (PBE) data for a relaxed Tb2Al8Pd crystal, as listed in OQMD.

## Properties
SG: P4/mmm, No. 123
total moment: 0.00 μB per formula unit
energy: -4.5255 eV/atom

The structure in POSCAR format:
```
Tb2Al8Pd
1.0
4.3014 0.0000 0.0000
0.0000 4.3014 0.0000
0.0000 0.0000 11.1838
Tb Al Pd
2 8 1
direct
0.0000 0.0000 0.1880 Tb
0.0000 0.0000 0.8120 Tb
0.0000 0.5000 0.0000 Al
0.0000 0.5000 0.3748 Al
0.0000 0.5000 0.6252 Al
0.5000 0.0000 0.0000 Al
0.5000 0.0000 0.3748 Al
0.5000 0.0000 0.6252 Al
0.5000 0.5000 0.1949 Al
0.5000 0.5000 0.8051 Al
0.0000 0.0000 0.5000 Pd
```



First-principles (PBE) data for a relaxed RbCoCuTeS2 crystal, as listed in OQMD.

## Properties
SG: Cmcm, No. 63
total moment: 0.00 μB per formula unit
energy: -4.2553 eV/atom

The structure in POSCAR format:
```
RbCoCuTeS2
1.0
1.7501 -7.9884 0.0000
1.7501 7.9884 0.0000
0.0000 0.0000 9.7557
Rb Co Cu Te S
2 2 2 2 4
direct
0.2306 0.7694 0.7500 Rb
0.7694 0.2306 0.2500 Rb
0.0000 0.0000 0.0000 Co
0.0000 0.0000 0.5000 Co
0.4497 0.5503 0.2500 Cu
0.5503 0.4497 0.7500 Cu
0.0703 0.9297 0.2500 Te
0.9297 0.0703 0.7500 Te
0.4062 0.5938 0.0346 S
0.4062 0.5938 0.4654 S
0.5938 0.4062 0.5346 S
0.5938 0.4062 0.9654 S
```



First-principles (PBE) data for a relaxed GaTcNO crystal, as listed in OQMD.

## Properties
SG: P4/nmm, No. 129
total moment: 0.06 μB per formula unit
energy: -6.6513 eV/atom

The structure in POSCAR format:
```
GaTcNO
1.0
4.3439 0.0000 0.0000
0.0000 4.3439 0.0000
0.0000 0.0000 4.3432
Ga Tc N O
2 2 2 2
direct
0.2500 0.7500 0.0000 Ga
0.7500 0.2500 0.0000 Ga
0.2500 0.2500 0.4924 Tc
0.7500 0.7500 0.5076 Tc
0.2500 0.2500 0.9849 N
0.7500 0.7500 0.0151 N
0.2500 0.7500 0.5000 O
0.7500 0.2500 0.5000 O
```



First-principles (PBE) data for a relaxed BeTlPt2 crystal, as listed in OQMD.

## Properties
SG: F-43m, No. 216
total moment: 0.00 μB per formula unit
energy: -4.3925 eV/atom

The structure in POSCAR format:
```
BeTlPt2
1.0
0.0000 3.1813 3.1813
3.1813 0.0000 3.1813
3.1813 3.1813 0.0000
Be Tl Pt
1 1 2
direct
0.0000 0.0000 0.0000 Be
0.7500 0.7500 0.7500 Tl
0.2500 0.2500 0.2500 Pt
0.5000 0.5000 0.5000 Pt
```



First-principles (PBE) data for a relaxed Co2S3 crystal, as listed in OQMD.

## Properties
SG: Pbcn, No. 60
total moment: 0.00 μB per formula unit
energy: -5.7017 eV/atom

The structure in POSCAR format:
```
Co2S3
1.0
8.1084 0.0000 0.0000
0.0000 5.7162 0.0000
0.0000 0.0000 5.8200
Co S
8 12
direct
0.1071 0.2482 0.0319 Co
0.1071 0.7518 0.5319 Co
0.3929 0.2518 0.5319 Co
0.3929 0.7482 0.0319 Co
0.6071 0.2518 0.9681 Co
0.6071 0.7482 0.4681 Co
0.8929 0.2482 0.4681 Co
0.8929 0.7518 0.9681 Co
0.0000 0.4540 0.7500 S
0.0000 0.5460 0.2500 S
0.1526 0.1101 0.3960 S
0.1526 0.8899 0.8960 S
0.3474 0.3899 0.8960 S
0.3474 0.6101 0.3960 S
0.5000 0.0460 0.2500 S
0.5000 0.9540 0.7500 S
0.6526 0.3899 0.6040 S
0.6526 0.6101 0.1040 S
0.8474 0.1101 0.1040 S
0.8474 0.8899 0.6040 S
```



First-principles (PBE) data for a relaxed DySiTc crystal, as listed in OQMD.

## Properties
SG: F-43m, No. 216
total moment: 0.02 μB per formula unit
energy: -6.8770 eV/atom

The structure in POSCAR format:
```
DySiTc
1.0
0.0000 3.1124 3.1124
3.1124 0.0000 3.1124
3.1124 3.1124 0.0000
Dy Si Tc
1 1 1
direct
0.0000 0.0000 0.0000 Dy
0.2500 0.2500 0.2500 Si
0.5000 0.5000 0.5000 Tc
```



First-principles (PBE) data for a relaxed Na2H6PdAu crystal, as listed in OQMD.

## Properties
SG: Fm-3m, No. 225
energy: -3.3023 eV/atom

The structure in POSCAR format:
```
Na2H6PdAu
1.0
0.0000 3.6609 3.6609
3.6609 0.0000 3.6609
3.6609 3.6609 0.0000
Na H Pd Au
2 6 1 1
direct
0.2500 0.2500 0.2500 Na
0.7500 0.7500 0.7500 Na
0.2404 0.2404 0.7596 H
0.2404 0.7596 0.2404 H
0.2404 0.7596 0.7596 H
0.7596 0.2404 0.2404 H
0.7596 0.2404 0.7596 H
0.7596 0.7596 0.2404 H
0.0000 0.0000 0.0000 Pd
0.5000 0.5000 0.5000 Au
```



First-principles (PBE) data for a relaxed ZrBeBi crystal, as listed in OQMD.

## Properties
SG: F-43m, No. 216
total moment: 0.30 μB per formula unit
energy: -5.0819 eV/atom

The structure in POSCAR format:
```
ZrBeBi
1.0
0.0000 3.1521 3.1521
3.1521 0.0000 3.1521
3.1521 3.1521 0.0000
Zr Be Bi
1 1 1
direct
0.0000 0.0000 0.0000 Zr
0.7500 0.7500 0.7500 Be
0.5000 0.5000 0.5000 Bi
```



First-principles (PBE) data for a relaxed PmNiPt crystal, as listed in OQMD.

## Properties
SG: F-43m, No. 216
total moment: 0.00 μB per formula unit
energy of formation: -150 kJ/mol of formula units

The structure in POSCAR format:
```
PmNiPt
1.0
0.0000 3.1296 3.1296
3.1296 0.0000 3.1296
3.1296 3.1296 0.0000
Pm Ni Pt
1 1 1
direct
0.0000 0.0000 0.0000 Pm
0.2500 0.2500 0.2500 Ni
0.5000 0.5000 0.5000 Pt
```



First-principles (PBE) data for a relaxed NaCdOs crystal, as listed in OQMD.

## Properties
SG: F-43m, No. 216
total moment: 2.02 μB per formula unit
energy: -2.7796 eV/atom

The structure in POSCAR format:
```
NaCdOs
1.0
0.0000 3.1913 3.1913
3.1913 0.0000 3.1913
3.1913 3.1913 0.0000
Na Cd Os
1 1 1
direct
0.0000 0.0000 0.0000 Na
0.7500 0.7500 0.7500 Cd
0.2500 0.2500 0.2500 Os
```